No. 1
Below is a relaxed structure of ZrGaOs2, with properties calculated at the PBE level.

Computed properties:
Total energy: -8.374 eV per atom

Unit cell a=6.382 b=6.382 c=6.382 alpha=90.00 beta=90.00 gamma=90.00
Space group F-43m (No. 216)
One atom of each set of equivalent atoms:
Zr: 0.000 0.000 0.000
Ga: 0.250 0.250 0.750
Os: 0.000 0.000 0.500
Os: 0.250 0.250 0.250

=====

No. 2
Below is a relaxed structure of SmGa3P, with properties calculated at the PBE level.

Computed properties:
Total energy: -3.796 eV per atom

Unit cell a=4.784 b=4.784 c=4.784 alpha=90.00 beta=90.00 gamma=90.00
Space group Pm-3m (No. 221)
One atom of each set of equivalent atoms:
Sm: 0.000 0.000 0.000
Ga: 0.000 0.500 0.500
P: 0.500 0.500 0.500

=====

No. 3
Below is a relaxed structure of TbGa3P, with properties calculated at the PBE level.

Computed properties:
Total energy: -3.739 eV per atom

Unit cell a=4.770 b=4.770 c=4.770 alpha=90.00 beta=90.00 gamma=90.00
Space group Pm-3m (No. 221)
One atom of each set of equivalent atoms:
Tb: 0.000 0.000 0.000
Ga: 0.000 0.500 0.500
P: 0.500 0.500 0.500

=====

No. 4
Below is a relaxed structure of ThGa3P, with properties calculated at the PBE level.

Computed properties:
Total energy: -4.286 eV per atom

Unit cell a=4.766 b=4.766 c=4.766 alpha=90.00 beta=90.00 gamma=90.00
Space group Pm-3m (No. 221)
One atom of each set of equivalent atoms:
Th: 0.000 0.000 0.000
Ga: 0.000 0.500 0.500
P: 0.500 0.500 0.500

=====

No. 5
Below is a relaxed structure of TmGa3P, with properties calculated at the PBE level.

Computed properties:
Total energy: -3.652 eV per atom

Unit cell a=4.761 b=4.761 c=4.761 alpha=90.00 beta=90.00 gamma=90.00
Space group Pm-3m (No. 221)
One atom of each set of equivalent atoms:
Tm: 0.000 0.000 0.000
Ga: 0.000 0.500 0.500
P: 0.500 0.500 0.500

=====

No. 6
Below is a relaxed structure of PaGa, with properties calculated at the PBE level.

Computed properties:
Total energy: -5.194 eV per atom
Energy above the lowest structure with this stoichiometry: 1.251 eV per atom

Unit cell a=6.438 b=6.438 c=6.438 alpha=90.00 beta=90.00 gamma=90.00
Space group F-43m (No. 216)
One atom of each set of equivalent atoms:
Pa: 0.000 0.000 0.000
Ga: 0.250 0.250 0.750

=====

No. 7
Below is a relaxed structure of PaGa3, with properties calculated at the PBE level.

Computed properties:
Total energy: -5.023 eV per atom

Unit cell a=4.294 b=4.294 c=4.294 alpha=90.00 beta=90.00 gamma=90.00
Space group Pm-3m (No. 221)
One atom of each set of equivalent atoms:
Pa: 0.000 0.000 0.000
Ga: 0.000 0.500 0.500

=====

No. 8
Below is a relaxed structure of PaGa, with properties calculated at the PBE level.

Computed properties:
Total energy: -6.445 eV per atom
Energy above the lowest structure with this stoichiometry: 0.000 eV per atom

Unit cell a=3.1075 b=3.1075 c=5.2223 alpha=90.00 beta=90.00 gamma=120.00
Space group P-6m2 (No. 187)
One atom of each set of equivalent atoms:
Pa: 0.0000 0.0000 0.0000
Ga: 0.3333 0.6667 0.5000